# DyPaBe2 PBE relaxed
data_DyPaBe2
_space_group_name_H-M_alt 'R -3 m'
_space_group_IT_number 166
_space_group_name_Hall '-R 3 2"'
_cell_length_a 3.3146
_cell_length_b 3.3146
_cell_length_c 25.3529
_cell_angle_alpha 90.00
_cell_angle_beta 90.00
_cell_angle_gamma 120.00
loop_
_atom_site_label
_atom_site_type_symbol
_atom_site_fract_x
_atom_site_fract_y
_atom_site_fract_z
Dy1 Dy 0.0000 0.0000 0.0000
Pa1 Pa 0.0000 0.0000 0.5000
Be1 Be 0.0000 0.0000 0.2501
# **Crystal system**: trigonal
# **Calculated density**: 8.5 Mg/m³
# **Spin magnetization**: 0.0 μB/cell
# **ΔH_f (0 K)**: 0.50 eV/atom
# **VASP energy**: -58.67 eV for the cell shown